TaNiN2O | PBE with a Hubbard U | optimized geometry

Unit cell a=4.073 b=4.073 c=3.907 alpha=90.00 beta=90.00 gamma=90.00
Element x y z (fractional)
Ta 0.000 0.000 0.000
Ni 0.500 0.500 0.500
N 0.500 0.000 0.000
N 0.000 0.500 0.000
O 0.000 0.000 0.500

- DFT total energy: -0.533 Ry per atom
- Crystal system: tetragonal
- DOS at the Fermi energy: 2.57 states/eV/cell